Record 1
{
  "formula": "TbPaCo2",
  "functional": "GGA-PBE",
  "state": "optimized geometry",
  "dos_at_fermi_per_ev_cell": 6.3,
  "polymorph_energy_ev_per_atom": 0.2819,
  "e_form_ev_per_atom": -0.0916,
  "lattice_angstrom": [[0.000, 3.333, 3.333], [3.333, 0.000, 3.333], [3.333, 3.333, 0.000]],
  "species": ["Tb", "Pa", "Co", "Co"],
  "fractional_positions": [[0.000, 0.000, 0.000], [0.500, 0.500, 0.500], [0.250, 0.250, 0.250], [0.750, 0.750, 0.750]]
}

---

Record 2
{
  "formula": "Tb3PaCo3",
  "functional": "GGA-PBE",
  "state": "optimized geometry",
  "dos_at_fermi_per_ev_cell": 10.7,
  "e_form_ev_per_atom": -0.2351,
  "lattice_angstrom": [[6.160, -1.856, 0.000], [6.160, 1.856, 0.000], [-6.140, 0.000, 13.127]],
  "species": ["Tb", "Tb", "Tb", "Tb", "Tb", "Tb", "Pa", "Pa", "Co", "Co", "Co", "Co", "Co", "Co"],
  "fractional_positions": [[0.016, 0.016, 0.134], [0.092, 0.092, 0.421], [0.231, 0.231, 0.695], [0.769, 0.769, 0.305], [0.908, 0.908, 0.579], [0.984, 0.984, 0.866], [0.279, 0.279, 0.109], [0.721, 0.721, 0.891], [0.374, 0.374, 0.963], [0.412, 0.412, 0.430], [0.435, 0.435, 0.261], [0.565, 0.565, 0.739], [0.588, 0.588, 0.570], [0.626, 0.626, 0.037]]
}

---

Record 3
{
  "formula": "TbPaCo2",
  "functional": "GGA-PBE",
  "state": "optimized geometry",
  "dos_at_fermi_per_ev_cell": 1.9,
  "polymorph_energy_ev_per_atom": 0.2087,
  "e_form_ev_per_atom": -0.1647,
  "lattice_angstrom": [[1.828, 1.056, 6.870], [-1.828, 1.056, 6.870], [0.000, -2.111, 6.870]],
  "species": ["Tb", "Pa", "Co", "Co"],
  "fractional_positions": [[0.000, 0.000, 0.000], [0.828, 0.828, 0.828], [0.238, 0.238, 0.238], [0.422, 0.422, 0.422]]
}